A plane-wave DFT calculation with PBE-GGA was carried out for a relaxed structure of La3SnSb2.

abc: 8.106 8.106 9.105
angles: 106.30 106.30 47.63
Element x y z (fractional)
La 0.001 0.999 0.750
La 0.329 0.329 0.414
La 0.329 0.329 0.914
La 0.671 0.671 0.086
La 0.671 0.671 0.586
La 0.999 0.001 0.250
Sn 0.499 0.501 0.250
Sn 0.501 0.499 0.750
Sb 0.166 0.166 0.083
Sb 0.166 0.166 0.583
Sb 0.834 0.834 0.417
Sb 0.834 0.834 0.917

Calculated values
Density of states at the Fermi level = 8.332 states/eV per cell
Density = 6.15 Mg/m³
Symmetry = C2/c (15)
Total DFT energy (no corrections) = -5.541 eV per atom
ΔE_f (raw) = -1036 meV/atom